Record 1
First-principles (PBE) data for an optimized crystal structure of NpSi3Ir, as listed in Alexandria.

Cell and atoms, written as extended XYZ:
```
20
Lattice="3.998 0.000 0.000 0.000 7.932 0.000 0.000 0.000 10.763" Properties=species:S:1:pos:R:3 pbc="T T T"
Np 2.998 6.484 0.235
Np 0.999 5.414 5.617
Np 2.998 2.518 5.146
Np 0.999 1.448 10.528
Si 0.999 4.444 0.778
Si 2.998 3.487 9.985
Si 0.999 0.479 4.603
Si 2.998 7.453 6.159
Si 0.999 2.960 7.240
Si 2.998 1.005 1.859
Si 0.999 6.926 8.904
Si 2.998 4.612 7.508
Si 0.999 3.320 3.255
Si 2.998 0.646 8.636
Si 2.998 4.971 3.523
Si 0.999 7.285 2.127
Ir 0.999 0.597 7.112
Ir 0.999 4.563 9.033
Ir 2.998 3.369 1.730
Ir 2.998 7.335 3.651
```

Properties
Space group ... Pnma (62)
Total DFT energy (no corrections) ... -8.072 eV per atom
Spin magnetization ... 0.785 μB/atom
Calculated volume ... 17.065 A^3/atom
Calculated density ... 9.99 g cm⁻³
Polymorph energy (0 for the lowest one) ... 72.6 meV/atom

***

Record 2
First-principles (PBE) data for an optimized crystal structure of ZrRe4Hg, as listed in Alexandria.

Cell and atoms, written as extended XYZ:
```
6
Lattice="-2.374 -2.450 4.044 -4.622 -2.465 -0.746 -0.230 -5.285 0.124" Properties=species:S:1:pos:R:3 pbc="T T T"
Zr -5.420 -7.650 2.567
Re -3.898 -5.050 3.313
Re -2.821 -6.474 1.344
Re -5.028 -5.057 0.907
Re -2.706 -3.819 1.281
Hg 0.000 0.000 0.000
```

Properties
Space group ... F-43m (216)
Total DFT energy (no corrections) ... -9.621 eV per atom
Spin magnetization ... 0.000 μB/atom
Calculated volume ... 17.456 A^3/atom
Calculated formation energy ... 0.153 eV per atom
Calculated density ... 16.44 g cm⁻³

***

Record 3
First-principles (PBE) data for an optimized crystal structure of Ac3Hg2Pd6Pb, as listed in Alexandria.

Cell and atoms, written as extended XYZ:
```
12
Lattice="5.973 0.000 0.000 -2.987 5.173 0.000 0.000 0.000 9.227" Properties=species:S:1:pos:R:3 pbc="T T T"
Ac 0.000 3.449 5.767
Ac 2.987 1.724 3.460
Ac 0.000 0.000 0.000
Hg 2.987 1.724 9.189
Hg 0.000 3.449 0.038
Pd 1.403 4.259 2.494
Pd 0.000 1.828 2.494
Pd -1.403 4.259 2.494
Pd 2.987 3.345 6.732
Pd 1.583 0.914 6.732
Pd 4.390 0.914 6.732
Pb 0.000 0.000 4.613
```

Properties
Space group ... P-3m1 (164)
Total DFT energy (no corrections) ... -4.598 eV per atom
Spin magnetization ... 0.000 μB/atom
Calculated volume ... 23.758 A^3/atom
Calculated formation energy ... -0.616 eV per atom
Calculated density ... 11.23 g cm⁻³